(1)
YMoSe2Br GGA-PBE relaxed; raw formation energy = -0.252 eV/atom; excess energy over the best structure of this formula in the dataset = 0 meV per atom; calculated total energy = -27.20 eV/cell
1.0
-3.236 -2.829 2.653
3.774 -1.499 3.004
-0.882 3.851 3.030
Y Mo Se Br
1 1 2 1
direct
0.500 0.500 0.500 Y
0.000 0.000 0.000 Mo
0.000 0.500 0.000 Se
0.500 0.000 0.000 Se
0.000 0.000 0.500 Br



(2)
YMoSeBr2 GGA-PBE relaxed; raw formation energy = -0.082 eV/atom; excess energy over the best structure of this formula in the dataset = 110 meV per atom; calculated total energy = -24.53 eV/cell
1.0
-1.852 4.711 0.267
-1.668 -0.922 4.697
4.486 1.655 1.918
Y Mo Se Br
1 1 1 2
direct
0.500 0.500 0.500 Y
0.000 0.000 0.000 Mo
0.000 0.000 0.500 Se
0.000 0.500 0.000 Br
0.500 0.000 0.000 Br



(3)
ZnMoSe2Br GGA-PBE relaxed; raw formation energy = 0.722 eV/atom; excess energy over the best structure of this formula in the dataset = 561 meV per atom; calculated total energy = -17.14 eV/cell
1.0
4.953 0.000 0.000
0.000 4.953 0.000
0.000 0.000 5.005
Zn Mo Se Br
1 1 2 1
direct
0.000 0.000 0.000 Zn
0.500 0.500 0.500 Mo
0.000 0.500 0.000 Se
0.500 0.000 0.000 Se
0.000 0.000 0.500 Br